w) The following is a DFT calculation (PBE) of a relaxed KRbBr2 crystal.

a = 4.111 Å, b = 4.111 Å, c = 8.236 Å
α = 90.00°, β = 90.00°, γ = 90.00°
Sites, in units of the cell vectors:
1 Br 0.000 0.000 0.758
2 Br 0.000 0.000 0.242
3 Rb 0.500 0.500 0.500
4 K 0.500 0.500 0.000

## Properties
Density of states at the Fermi level, states/eV/cell: 0.00

=====

x) The following is a DFT calculation (PBE) of a relaxed KRbBr2 crystal.

a = 4.739 Å, b = 4.739 Å, c = 8.759 Å
α = 74.30°, β = 74.30°, γ = 60.00°
Sites, in units of the cell vectors:
1 Rb 0.668 0.668 0.997
2 Br 0.086 0.086 0.743
3 Br 0.248 0.248 0.257
4 K 0.499 0.499 0.503

## Properties
Density of states at the Fermi level, states/eV/cell: 0.00

=====

y) The following is a DFT calculation (PBE) of a relaxed KRbBr2 crystal.

a = 10.109 Å, b = 10.109 Å, c = 10.109 Å
α = 29.25°, β = 29.25°, γ = 29.25°
Sites, in units of the cell vectors:
1 Rb 0.000 0.000 0.000
2 K 0.500 0.500 0.500
3 Br 0.893 0.893 0.893
4 Br 0.107 0.107 0.107

## Properties
Density of states at the Fermi level, states/eV/cell: 0.00

=====

z) The following is a DFT calculation (PBE) of a relaxed KRbBr2 crystal.

a = 7.681 Å, b = 7.681 Å, c = 9.212 Å
α = 65.36°, β = 65.36°, γ = 90.00°
Sites, in units of the cell vectors:
1 Rb 0.000 0.000 0.000
2 Br 0.609 0.125 0.250
3 Rb 0.750 0.250 0.500
4 Br 0.875 0.859 0.750
5 Br 0.375 0.391 0.750
6 K 0.250 0.750 0.500
7 Br 0.141 0.625 0.250
8 K 0.500 0.500 0.000

## Properties
Density of states at the Fermi level, states/eV/cell: 0.00

=====

Relative energies in kJ/mol of atoms: w) 3.2; x) 0.0; y) 23.1; z) 5.8

=====

w) The following is a DFT calculation (PBE) of a relaxed KRb2SeBr6 crystal.

a = 7.703 Å, b = 7.703 Å, c = 16.600 Å
α = 76.58°, β = 76.58°, γ = 60.00°
Site moments in Bohr magnetons follow the coordinates.
Sites, in units of the cell vectors:
1 Br 0.799 0.799 0.097  0.02
2 Br 0.363 0.363 0.402  0.01
3 Br 0.696 0.201 0.903  0.02
4 Br 0.799 0.304 0.097  0.02
5 K 0.418 0.418 0.746  0.00
6 Rb 0.142 0.142 0.575  0.00
7 Br 0.363 0.873 0.402  0.01
8 Rb 0.858 0.858 0.425  0.00
9 Br 0.127 0.637 0.598  0.01
10 Se 0.500 0.500 0.500  0.06
11 Se 0.000 0.000 0.000  0.20
12 Rb 0.691 0.691 0.926  0.00
13 Rb 0.309 0.309 0.074  0.00
14 Br 0.873 0.363 0.402  0.01
15 K 0.582 0.582 0.254  0.00
16 Br 0.304 0.799 0.097  0.02
17 Br 0.637 0.637 0.598  0.01
18 Br 0.201 0.201 0.903  0.02
19 Br 0.637 0.127 0.598  0.01
20 Br 0.201 0.696 0.903  0.02

## Properties
Density of states at the Fermi level, states/eV/cell: 10.00

=====

x) The following is a DFT calculation (PBE) of a relaxed KRb2SeBr6 crystal.

a = 8.391 Å, b = 8.391 Å, c = 8.221 Å
α = 59.32°, β = 59.32°, γ = 90.00°
Site moments in Bohr magnetons follow the coordinates.
Sites, in units of the cell vectors:
1 Rb 0.250 0.750 0.500  0.00
2 Br 0.775 0.775 0.450  0.00
3 Br 0.763 0.237 0.000  0.07
4 Se 0.000 0.000 0.000  0.41
5 Br 0.225 0.225 0.550  0.00
6 Br 0.763 0.763 0.000  0.07
7 Br 0.237 0.237 0.000  0.07
8 K 0.500 0.500 0.000  0.01
9 Br 0.237 0.763 0.000  0.07
10 Rb 0.750 0.250 0.500  0.00

## Properties
Density of states at the Fermi level, states/eV/cell: 4.25

=====

Relative energies in kJ/mol of atoms: w) 0.0; x) 2.3

=====

w) The following is a DFT calculation (PBE) of a relaxed KRbSeBr2 crystal.

a = 6.488 Å, b = 6.488 Å, c = 6.270 Å
α = 90.00°, β = 90.00°, γ = 90.00°
Site moments in Bohr magnetons follow the coordinates.
Sites, in units of the cell vectors:
1 K 0.500 0.500 0.500  0.00
2 Se 0.000 0.000 0.500  0.91
3 Br 0.500 0.000 0.000  0.16
4 Br 0.000 0.500 0.000  0.16
5 Rb 0.000 0.000 0.000  0.02

## Properties
Density of states at the Fermi level, states/eV/cell: 6.67

=====

x) The following is a DFT calculation (PBE) of a relaxed KRbSeBr2 crystal.

a = 6.240 Å, b = 6.240 Å, c = 6.061 Å
α = 90.00°, β = 90.00°, γ = 90.00°
Site moments in Bohr magnetons follow the coordinates.
Sites, in units of the cell vectors:
1 Rb 0.500 0.500 0.500  0.00
2 Br 0.000 0.500 0.000  0.17
3 K 0.000 0.000 0.000  0.01
4 Se 0.000 0.000 0.500  0.91
5 Br 0.500 0.000 0.000  0.17

## Properties
Density of states at the Fermi level, states/eV/cell: 5.50

=====

Relative energies in kJ/mol of atoms: w) 9.8; x) 0.0

=====

w) The following is a DFT calculation (PBE) of a relaxed KRb2SrBr crystal.

a = 6.930 Å, b = 6.930 Å, c = 6.665 Å
α = 90.00°, β = 90.00°, γ = 90.00°
Sites, in units of the cell vectors:
1 Rb 0.000 0.500 0.000
2 K 0.000 0.000 0.500
3 Rb 0.500 0.000 0.000
4 Br 0.000 0.000 0.000
5 Sr 0.500 0.500 0.500

## Properties
Density of states at the Fermi level, states/eV/cell: 4.56

=====

x) The following is a DFT calculation (PBE) of a relaxed KRb2SrBr crystal.

a = 7.174 Å, b = 7.174 Å, c = 6.273 Å
α = 90.00°, β = 90.00°, γ = 90.00°
Sites, in units of the cell vectors:
1 Sr 0.000 0.000 0.500
2 Br 0.000 0.000 0.000
3 Rb 0.000 0.500 0.000
4 K 0.500 0.500 0.500
5 Rb 0.500 0.000 0.000

## Properties
Density of states at the Fermi level, states/eV/cell: 3.39

=====

Relative energies in kJ/mol of atoms: w) 2.1; x) 0.0